First-principles (GGA-PBE) data for an optimized crystal structure of CaP, as listed in Alexandria via LeMat-Bulk.

Summary:
ΔH_f (0 K) = -0.238 eV per atom

a b c (Å): 7.9889 7.9889 7.9889
angles (deg): 90.00 90.00 90.00
Fractional positions:
Ca  0.2500  0.5000  0.0000
Ca  0.7500  0.5000  0.0000
Ca  0.5000  0.0000  0.2500
Ca  0.5000  0.0000  0.7500
Ca  0.0000  0.2500  0.5000
Ca  0.0000  0.7500  0.5000
P  0.2500  0.0000  0.5000
P  0.7500  0.0000  0.5000
P  0.0000  0.5000  0.2500
P  0.0000  0.5000  0.7500
P  0.5000  0.2500  0.0000
P  0.5000  0.7500  0.0000